Record 1
VASP calculation (PBE) on a relaxed structure of MgBe2Ir.

Cell lengths 8.065, 8.065, 8.065 Å; angles 20.22, 20.22, 20.22 degrees
Element x y z (fractional)
Be 0.987 0.987 0.987
Be 0.513 0.513 0.513
Mg 0.750 0.750 0.750
Ir 0.250 0.250 0.250

Computed properties:
symmetry: R-3m, No. 166
DOS at the Fermi energy: 0.529 states/eV/atom
total moment: 0.00 μB/f.u.
ΔE_f: 7.8 kJ per mole of atoms


Record 2
VASP calculation (PBE) on a relaxed structure of CsNaInBr3.

Cell lengths 5.079, 9.179, 10.879 Å; angles 111.17, 90.00, 90.00 degrees
Element x y z (fractional)
Cs 0.750 0.778 0.747
Cs 0.250 0.222 0.253
Na 0.250 0.157 0.631
Na 0.750 0.843 0.369
In 0.250 0.671 0.107
In 0.750 0.329 0.893
Br 0.250 0.812 0.486
Br 0.750 0.897 0.118
Br 0.750 0.482 0.199
Br 0.750 0.188 0.514
Br 0.250 0.518 0.801
Br 0.250 0.103 0.882

Computed properties:
symmetry: P2_1/m, No. 11
formation energy (no corrections): -1.296 eV/atom
DOS at the Fermi energy: 0.000 states/eV/atom
total moment: 0.00 μB/f.u.


Record 3
VASP calculation (PBE) on a relaxed structure of AcTiGe2.

Cell lengths 4.368, 4.368, 6.401 Å; angles 70.05, 70.05, 60.00 degrees
Element x y z (fractional)
Ac 0.500 0.500 0.500
Ge 0.279 0.279 0.163
Ge 0.721 0.721 0.837
Ti 0.000 0.000 0.000

Computed properties:
symmetry: R-3m, No. 166
energy above the most stable polymorph in this dataset: 0 meV/atom
DOS at the Fermi energy: 0.922 states/eV/atom
total moment: 0.00 μB/f.u.
ΔE_f: -48.2 kJ per mole of atoms


Record 4
VASP calculation (PBE) on a relaxed structure of LaRePb.

Cell lengths 3.455, 3.455, 7.287 Å; angles 90.00, 90.00, 120.00 degrees
Element x y z (fractional)
La 0.000 0.000 0.961
Pb 0.333 0.667 0.376
Re 0.667 0.333 0.663

Computed properties:
symmetry: P3m1, No. 156
energy above the most stable polymorph in this dataset: 261 meV/atom
DOS at the Fermi energy: 0.890 states/eV/atom
total moment: 0.00 μB/f.u.
ΔE_f: 60.1 kJ per mole of atoms


Record 5
VASP calculation (PBE) on a relaxed structure of LaTe2Pb.

Cell lengths 5.528, 5.497, 4.067 Å; angles 90.00, 90.00, 90.00 degrees
Element x y z (fractional)
La 0.500 0.000 0.500
Pb 0.000 0.500 0.500
Te 0.000 0.000 0.000
Te 0.500 0.500 0.000

Computed properties:
symmetry: Pmmm, No. 47
formation energy (no corrections): -0.911 eV/atom
DOS at the Fermi energy: 0.816 states/eV/atom
total moment: 0.04 μB/f.u.


Record 6
VASP calculation (PBE) on a relaxed structure of NaNd2Cl7.

Cell lengths 4.945, 4.945, 13.641 Å; angles 79.56, 79.56, 60.00 degrees
Element x y z (fractional)
Na 0.500 0.500 0.500
Nd 0.070 0.070 0.791
Nd 0.930 0.930 0.209
Cl 0.719 0.719 0.843
Cl 0.579 0.579 0.262
Cl 0.000 0.000 0.000
Cl 0.281 0.281 0.157
Cl 0.137 0.137 0.588
Cl 0.863 0.863 0.412
Cl 0.421 0.421 0.738

Computed properties:
symmetry: R-3m, No. 166
formation energy (no corrections): -2.121 eV/atom
DOS at the Fermi energy: 0.000 states/eV/atom
total moment: 0.00 μB/f.u.


Record 7
VASP calculation (PBE) on a relaxed structure of BaP2Ru.

Cell lengths 3.318, 3.318, 7.196 Å; angles 90.00, 90.00, 90.00 degrees
Element x y z (fractional)
Ba 0.500 0.500 0.765
P 0.000 0.000 0.068
P 0.500 0.500 0.276
Ru 0.000 0.000 0.391

Computed properties:
symmetry: P4mm, No. 99
energy above the most stable polymorph in this dataset: 643 meV/atom
DOS at the Fermi energy: 1.011 states/eV/atom
total moment: 0.00 μB/f.u.
ΔE_f: -0.6 kJ per mole of atoms


Record 8
VASP calculation (PBE) on a relaxed structure of Pu2MgAl3Ga4.

Cell lengths 4.250, 4.250, 11.070 Å; angles 90.00, 90.00, 90.00 degrees
Site moments in Bohr magnetons follow the coordinates.
Element x y z (fractional)
Pu 0.500 0.000 0.239  -5.41
Pu 0.000 0.500 0.761  -5.41
Mg 0.500 0.500 0.500  0.01
Al 0.000 0.000 0.500  0.01
Al 0.500 0.000 0.865  0.01
Al 0.000 0.500 0.135  0.01
Ga 0.500 0.500 0.000  0.03
Ga 0.000 0.000 0.000  0.03
Ga 0.500 0.000 0.644  0.03
Ga 0.000 0.500 0.356  0.03

Computed properties:
symmetry: P-4m2, No. 115
DOS at the Fermi energy: 2.158 states/eV/atom
total moment: 11.52 μB/f.u.
ΔE_f: -24.6 kJ per mole of atoms


Record 9
VASP calculation (PBE) on a relaxed structure of Pa2PdCN5.

Cell lengths 4.775, 6.786, 6.786 Å; angles 90.00, 90.00, 90.00 degrees
Element x y z (fractional)
Pa 0.500 0.692 0.192
Pa 0.500 0.192 0.308
Pa 0.500 0.808 0.692
Pa 0.500 0.308 0.808
Pd 0.000 0.500 0.500
Pd 0.000 0.000 0.000
C 0.000 0.000 0.500
C 0.000 0.500 0.000
N 0.500 0.500 0.500
N 0.500 0.000 0.000
N 0.228 0.113 0.613
N 0.228 0.887 0.387
N 0.228 0.387 0.113
N 0.228 0.613 0.887
N 0.772 0.113 0.613
N 0.772 0.613 0.887
N 0.772 0.887 0.387
N 0.772 0.387 0.113

Computed properties:
symmetry: P4/mbm, No. 127
formation energy (no corrections): -0.087 eV/atom
DOS at the Fermi energy: 0.399 states/eV/atom
total moment: 0.00 μB/f.u.


Record 10
VASP calculation (PBE) on a relaxed structure of MnZn2Br.

Cell lengths 8.114, 8.114, 8.114 Å; angles 23.93, 23.93, 23.93 degrees
Site moments in Bohr magnetons follow the coordinates.
Element x y z (fractional)
Br 0.250 0.250 0.250  0.02
Mn 0.750 0.750 0.750  3.81
Zn 0.004 0.004 0.004  0.00
Zn 0.496 0.496 0.496  0.00

Computed properties:
symmetry: R-3m, No. 166
formation energy (no corrections): 0.168 eV/atom
energy above the most stable polymorph in this dataset: 122 meV/atom
DOS at the Fermi energy: 0.487 states/eV/atom
total moment: 4.05 μB/f.u.


Record 11
VASP calculation (PBE) on a relaxed structure of BeSiPt.

Cell lengths 3.832, 3.832, 3.832 Å; angles 60.00, 60.00, 60.00 degrees
Element x y z (fractional)
Be 0.750 0.750 0.750
Si 0.500 0.500 0.500
Pt 0.000 0.000 0.000

Computed properties:
symmetry: F-43m, No. 216
formation energy (no corrections): -0.320 eV/atom
energy above the most stable polymorph in this dataset: 216 meV/atom
DOS at the Fermi energy: 0.482 states/eV/atom
total moment: 0.00 μB/f.u.


Record 12
VASP calculation (PBE) on a relaxed structure of Zr2BeBr.

Cell lengths 3.463, 5.183, 4.346 Å; angles 90.00, 90.00, 90.00 degrees
Element x y z (fractional)
Be 0.500 0.000 0.500
Br 0.000 0.500 0.500
Zr 0.000 0.000 0.000
Zr 0.500 0.500 0.000

Computed properties:
symmetry: Pmmm, No. 47
formation energy (no corrections): 0.227 eV/atom
energy above the most stable polymorph in this dataset: 495 meV/atom
DOS at the Fermi energy: 0.803 states/eV/atom
total moment: 0.00 μB/f.u.


Record 13
VASP calculation (PBE) on a relaxed structure of LaTbTmCd.

Cell lengths 5.534, 5.534, 5.534 Å; angles 60.00, 60.00, 60.00 degrees
Element x y z (fractional)
Cd 0.500 0.500 0.500
Tm 0.000 0.000 0.000
Tb 0.750 0.750 0.750
La 0.250 0.250 0.250

Computed properties:
symmetry: F-43m, No. 216
energy above the most stable polymorph in this dataset: 84 meV/atom
DOS at the Fermi energy: 1.306 states/eV/atom
total moment: 0.00 μB/f.u.
ΔE_f: -4.9 kJ per mole of atoms


Record 14
VASP calculation (PBE) on a relaxed structure of Pd2PbAu.

Cell lengths 3.519, 3.519, 5.988 Å; angles 90.00, 90.00, 90.00 degrees
Element x y z (fractional)
Pb 0.500 0.500 0.500
Au 0.500 0.500 0.000
Pd 0.000 0.000 0.758
Pd 0.000 0.000 0.242

Computed properties:
symmetry: P4/mmm, No. 123
DOS at the Fermi energy: 0.386 states/eV/atom
total moment: 0.00 μB/f.u.
ΔE_f: -14.7 kJ per mole of atoms


Record 15
VASP calculation (PBE) on a relaxed structure of Pr4Sm10Sc.

Cell lengths 10.549, 8.775, 8.775 Å; angles 68.82, 53.05, 53.05 degrees
Element x y z (fractional)
Pr 0.321 0.736 0.621
Pr 0.942 0.379 0.736
Pr 0.058 0.621 0.264
Pr 0.679 0.264 0.379
Sm 0.250 0.500 0.500
Sm 0.548 0.321 0.909
Sm 0.131 0.091 0.321
Sm 0.544 0.909 0.679
Sm 0.778 0.679 0.091
Sm 0.452 0.679 0.091
Sm 0.750 0.500 0.500
Sm 0.222 0.321 0.909
Sm 0.456 0.091 0.321
Sm 0.869 0.909 0.679
Sc 0.000 0.000 0.000

Computed properties:
symmetry: I4/m, No. 87
DOS at the Fermi energy: 1.457 states/eV/atom
total moment: 0.00 μB/f.u.
ΔE_f: 33.0 kJ per mole of atoms


Record 16
VASP calculation (PBE) on a relaxed structure of InSiCl.

Cell lengths 3.693, 5.851, 8.818 Å; angles 93.66, 101.97, 90.03 degrees
Element x y z (fractional)
Si 0.395 0.480 0.626
Si 0.954 0.660 0.744
Cl 0.579 0.144 0.994
Cl 0.274 0.403 0.383
In 0.955 0.128 0.742
In 0.602 0.645 0.047

Computed properties:
symmetry: P1, No. 1
formation energy (no corrections): -0.262 eV/atom
DOS at the Fermi energy: 0.240 states/eV/atom
total moment: 0.00 μB/f.u.


Record 17
VASP calculation (PBE) on a relaxed structure of BaPm2P2N6.

Cell lengths 6.667, 6.008, 6.087 Å; angles 110.21, 79.40, 67.30 degrees
Element x y z (fractional)
Ba 0.500 0.000 0.500
Pm 0.828 0.375 0.793
Pm 0.172 0.625 0.207
P 0.224 0.706 0.752
P 0.776 0.294 0.248
N 0.430 0.676 0.857
N 0.888 0.480 0.225
N 0.131 0.906 0.637
N 0.112 0.520 0.775
N 0.869 0.094 0.363
N 0.570 0.324 0.143

Computed properties:
symmetry: P-1, No. 2
formation energy (no corrections): -0.905 eV/atom
DOS at the Fermi energy: 0.000 states/eV/atom
total moment: 0.00 μB/f.u.


Record 18
VASP calculation (PBE) on a relaxed structure of ScCd8Ag2.

Cell lengths 5.107, 5.780, 8.773 Å; angles 109.23, 95.62, 90.00 degrees
Element x y z (fractional)
Sc 0.000 0.000 0.000
Cd 0.548 0.338 0.191
Cd 0.452 0.148 0.809
Cd 0.919 0.812 0.625
Cd 0.081 0.188 0.375
Cd 0.548 0.852 0.191
Cd 0.452 0.662 0.809
Cd 0.038 0.589 0.179
Cd 0.962 0.411 0.821
Ag 0.395 0.738 0.475
Ag 0.605 0.262 0.525

Computed properties:
symmetry: C2/m, No. 12
energy above the most stable polymorph in this dataset: 0 meV/atom
DOS at the Fermi energy: 0.382 states/eV/atom
total moment: 0.00 μB/f.u.
ΔE_f: -2.2 kJ per mole of atoms


Record 19
VASP calculation (PBE) on a relaxed structure of Ho7CoBr12.

Cell lengths 9.158, 9.158, 9.158 Å; angles 106.63, 106.63, 106.63 degrees
Element x y z (fractional)
Ho 0.981 0.701 0.903
Ho 0.299 0.097 0.019
Ho 0.097 0.019 0.299
Ho 0.500 0.500 0.500
Ho 0.903 0.981 0.701
Ho 0.701 0.903 0.981
Ho 0.019 0.299 0.097
Co 0.000 0.000 0.000
Br 0.931 0.326 0.780
Br 0.674 0.220 0.069
Br 0.462 0.167 0.384
Br 0.833 0.616 0.538
Br 0.220 0.069 0.674
Br 0.616 0.538 0.833
Br 0.384 0.462 0.167
Br 0.780 0.931 0.326
Br 0.167 0.384 0.462
Br 0.538 0.833 0.616
Br 0.326 0.780 0.931
Br 0.069 0.674 0.220

Computed properties:
symmetry: R-3, No. 148
formation energy (no corrections): -1.563 eV/atom
DOS at the Fermi energy: 0.002 states/eV/atom
total moment: 0.00 μB/f.u.


Record 20
VASP calculation (PBE) on a relaxed structure of Ba6SbH8.

Cell lengths 7.808, 7.808, 8.828 Å; angles 63.75, 63.75, 60.00 degrees
Element x y z (fractional)
Ba 0.419 0.113 0.729
Ba 0.887 0.261 0.271
Ba 0.261 0.581 0.271
Ba 0.739 0.419 0.729
Ba 0.113 0.739 0.729
Ba 0.581 0.887 0.271
Sb 0.000 0.000 0.000
H 0.531 0.196 0.376
H 0.804 0.103 0.624
H 0.103 0.469 0.624
H 0.649 0.649 0.053
H 0.351 0.351 0.947
H 0.897 0.531 0.376
H 0.196 0.897 0.376
H 0.469 0.804 0.624

Computed properties:
symmetry: R-3, No. 148
raw total energy: -50.07 eV/f.u.
DOS at the Fermi energy: 0.058 states/eV/atom
total moment: 1.01 μB/f.u.